No. 1
16
Lattice="7.796 -0.396 0.018 -2.654 7.341 0.018 -2.089 -2.822 9.437" Properties=species:S:1:pos:R:3 comment="NaYTlCl5, relaxed, DFT GGA-PBE" vol_a3_per_cell=530.96 spacegroup="C2/c (15)" formation_energy_uncorrected_mev_per_atom=-1844 n_ef_per_ev_cell=0.00 magmom_total_mub_per_cell=0.00 dft_energy_ev_per_atom=-4.267 pbc="T T T"
Cl 5.451 -1.937 7.096
Cl 4.470 -0.877 3.793
Cl -3.188 2.608 8.511
Cl 2.057 1.581 0.542
Cl -2.399 6.060 2.377
Cl 0.995 2.542 8.931
Cl -0.133 1.018 5.260
Cl -1.418 5.000 5.680
Cl 3.185 3.105 4.213
Cl 6.241 1.515 0.962
Tl 2.476 0.266 7.096
Tl 0.576 3.857 2.377
Na 4.002 1.321 2.377
Na -0.950 2.802 7.096
Y -1.045 -1.411 4.718
Y 0.000 0.000 0.000

No. 2
13
Lattice="5.175 0.000 0.000 2.588 4.482 0.000 2.588 1.494 10.039" Properties=species:S:1:pos:R:3 comment="Cd3Pd8Pt2, relaxed, DFT GGA-PBE" formation_enthalpy_0k_ev_per_atom=0.0362 vol_a3_per_cell=232.83 spacegroup="R-3m (166)" n_ef_per_ev_cell=13.57 magmom_total_mub_per_cell=0.00 dft_energy_ev_per_atom=-4.300 pbc="T T T"
Pt 5.175 2.988 0.749
Pt 5.175 2.988 9.290
Cd 2.588 1.494 4.560
Cd 7.763 4.482 5.479
Cd 0.000 0.000 0.000
Pd 2.588 1.494 1.816
Pd 5.175 4.488 7.024
Pd 5.175 1.487 3.014
Pd 3.876 2.238 7.024
Pd 7.763 4.482 8.223
Pd 6.475 2.238 7.024
Pd 6.475 3.738 3.014
Pd 3.876 3.738 3.014

What did the first record say?
16
Lattice="7.796 -0.396 0.018 -2.654 7.341 0.018 -2.089 -2.822 9.437" Properties=species:S:1:pos:R:3 comment="NaYTlCl5, relaxed, DFT GGA-PBE" vol_a3_per_cell=530.96 spacegroup="C2/c (15)" formation_energy_uncorrected_mev_per_atom=-1844 n_ef_per_ev_cell=0.00 magmom_total_mub_per_cell=0.00 dft_energy_ev_per_atom=-4.267 pbc="T T T"
Cl 5.451 -1.937 7.096
Cl 4.470 -0.877 3.793
Cl -3.188 2.608 8.511
Cl 2.057 1.581 0.542
Cl -2.399 6.060 2.377
Cl 0.995 2.542 8.931
Cl -0.133 1.018 5.260
Cl -1.418 5.000 5.680
Cl 3.185 3.105 4.213
Cl 6.241 1.515 0.962
Tl 2.476 0.266 7.096
Tl 0.576 3.857 2.377
Na 4.002 1.321 2.377
Na -0.950 2.802 7.096
Y -1.045 -1.411 4.718
Y 0.000 0.000 0.000